[1]
Material: AcTlH
Method: DFT, GGA-PBE
State: optimized geometry

Output
Energy above the lowest structure with this stoichiometry in eV/atom: 0.0494

Cell: 5.4925 4.1062 4.1062 Å, 120.00 90.00 90.00°
Atoms (fractional coordinates):
H 0.1679 0.0000 0.0000
Ac 0.1661 0.6667 0.3333
Tl 0.6660 0.3333 0.6667

=====

[2]
Material: SmErMn4
Method: DFT, GGA-PBE
State: optimized geometry

Output
DFT formation energy in eV/atom: 0.18

Cell: 5.1515 5.1515 5.1515 Å, 60.00 60.00 60.00°
Atoms (fractional coordinates):
Sm 0.0000 0.0000 0.0000
Er 0.7500 0.7500 0.7500
Mn 0.3753 0.3753 0.3753
Mn 0.3753 0.8742 0.3753
Mn 0.8742 0.3753 0.3753
Mn 0.3753 0.3753 0.8742

=====

[3]
Material: Pm10Sm6Th
Method: DFT, GGA-PBE
State: optimized geometry

Output
DFT formation energy in eV/atom: 0.14

Cell: 7.0075 9.8501 9.8501 Å, 120.00 90.00 90.00°
Atoms (fractional coordinates):
Pm 0.8154 0.7271 0.7271
Pm 0.8154 0.0000 0.2729
Pm 0.8154 0.2729 0.0000
Pm 0.1846 0.2729 0.2729
Pm 0.1846 0.0000 0.7271
Pm 0.1846 0.7271 0.0000
Pm 0.5000 0.3333 0.6667
Pm 0.5000 0.6667 0.3333
Pm 0.0000 0.6667 0.3333
Pm 0.0000 0.3333 0.6667
Sm 0.6967 0.3726 0.3726
Sm 0.6967 0.0000 0.6274
Sm 0.6967 0.6274 0.0000
Sm 0.3033 0.6274 0.6274
Sm 0.3033 0.0000 0.3726
Sm 0.3033 0.3726 0.0000
Th 0.5000 0.0000 0.0000

=====

[4]
Material: NbZnOs
Method: DFT, GGA-PBE
State: optimized geometry

Output
DFT formation energy in eV/atom: 0.73

Cell: 2.6815 2.6815 7.5090 Å, 100.29 100.29 90.00°
Atoms (fractional coordinates):
Nb 0.9557 0.9557 0.9114
Os 0.1297 0.1297 0.2593
Zn 0.7646 0.7646 0.5293